Computed, not measured: a PBEsol-optimized structure of CdTe2W at the meta-GGA SCAN level of DFT.

Summary:
Formation energy (no corrections): 0.414 eV/atom
Crystal system: tetragonal

Cell lengths 3.183, 3.183, 9.258 Å; angles 90.00, 90.00, 90.00 degrees
Space group P4mm (No. 99)
Unique sites:
Cd 0.000 0.000 0.000
Te 0.000 0.000 0.628
Te 0.500 0.500 0.291
W 0.500 0.500 0.795

Computed, not measured: a PBEsol-optimized structure of CdTeW at the meta-GGA SCAN level of DFT.

Summary:
Formation energy (no corrections): 0.897 eV/atom
Crystal system: hexagonal

Cell lengths 4.8808, 4.8808, 2.8720 Å; angles 90.00, 90.00, 120.00 degrees
Space group P-6m2 (No. 187)
Unique sites:
Cd 0.0000 0.0000 0.0000
Te 0.3333 0.6667 0.5000
W 0.6667 0.3333 0.5000

Computed, not measured: a PBEsol-optimized structure of YCd2Te at the meta-GGA SCAN level of DFT.

Summary:
Formation energy (no corrections): -0.531 eV/atom
Crystal system: monoclinic

Cell lengths 10.464, 4.019, 5.054 Å; angles 90.00, 109.74, 90.00 degrees
Space group Cm (No. 8)
Unique sites:
Y 0.000 0.000 0.000
Cd 0.013 0.500 0.506
Cd 0.265 0.500 0.354
Te 0.265 0.000 0.881

Number 1: D(E_F) 0.75 states/eV/atom. Number 2: D(E_F) 0.81 states/eV/atom. Number 3: D(E_F) 0.34 states/eV/atom.